--- one ---
Below is a relaxed Ac2TlTe crystal, with properties calculated at the PBE level.

Unit cell a=4.617 b=4.617 c=8.860 alpha=74.90 beta=74.90 gamma=60.00
Positions (direct):
Ac (0.249, 0.249, 0.252)
Ac (0.751, 0.751, 0.748)
Te (0.500, 0.500, 0.500)
Tl (0.000, 0.000, 0.000)

Spin magnetization: 0.000 Bohr magnetons per cell
Theoretical density: 8.4 g/cm³

--- two ---
Below is a relaxed Ac2TlTe crystal, with properties calculated at the PBE level.

Unit cell a=4.441 b=4.441 c=9.479 alpha=76.45 beta=76.45 gamma=60.00
Positions (direct):
Ac (0.079, 0.079, 0.762)
Ac (0.254, 0.254, 0.238)
Tl (0.499, 0.499, 0.502)
Te (0.667, 0.667, 0.998)

Spin magnetization: 0.001 Bohr magnetons per cell
Theoretical density: 8.4 g/cm³

--- three ---
Below is a relaxed Ac2TlTe crystal, with properties calculated at the PBE level.

Unit cell a=4.520 b=6.764 c=10.178 alpha=90.00 beta=90.00 gamma=90.00
Positions (direct):
Ac (0.000, 0.000, 0.876)
Ac (0.000, 0.000, 0.371)
Ac (0.500, 0.500, 0.629)
Ac (0.500, 0.500, 0.124)
Tl (0.500, 0.000, 0.626)
Tl (0.000, 0.500, 0.374)
Te (0.000, 0.500, 0.879)
Te (0.500, 0.000, 0.121)

Spin magnetization: 0.000 Bohr magnetons per cell
Theoretical density: 8.4 g/cm³

Which of them is the most stable, and which is the least stable? one and two, in that order.